Crystalline CsLa2Al2 at its relaxed geometry, computed with PBE.

abc: 9.5727 9.5727 3.5963
angles: 90.00 90.00 90.00
Fractional coordinates of all 10 atoms:
1 Cs 0.0000 0.0000 0.0000
2 Cs 0.5000 0.5000 0.0000
3 La 0.1718 0.3282 0.5000
4 La 0.3282 0.8282 0.5000
5 La 0.6718 0.1718 0.5000
6 La 0.8282 0.6718 0.5000
7 Al 0.1070 0.6070 0.0000
8 Al 0.3930 0.1070 0.0000
9 Al 0.6070 0.8930 0.0000
10 Al 0.8930 0.3930 0.0000

Properties
Formation energy ... 78 meV per atom
Energy relative to the lowest polymorph listed for this composition ... 65 meV/atom
Space group ... P4/mbm, No. 127
Electronic total energy ... -0.131 hartree per atom



Crystalline Cs2LaAl at its relaxed geometry, computed with PBE.

abc: 6.1225 6.1225 6.1225
angles: 60.00 60.00 60.00
Fractional coordinates of all 4 atoms:
1 Cs 0.2500 0.2500 0.2500
2 Cs 0.7500 0.7500 0.7500
3 La 0.0000 0.0000 0.0000
4 Al 0.5000 0.5000 0.5000

Properties
Formation energy ... 793 meV per atom
Space group ... Fm-3m, No. 225
Electronic total energy ... -0.066 hartree per atom



Crystalline CsLiLaAl2 at its relaxed geometry, computed with PBE.

abc: 5.8836 5.8836 6.5061
angles: 90.00 90.00 90.00
Fractional coordinates of all 5 atoms:
1 Cs 0.0000 0.0000 0.0000
2 Li 0.5000 0.5000 0.0000
3 La 0.0000 0.0000 0.5000
4 Al 0.0000 0.5000 0.5000
5 Al 0.5000 0.0000 0.5000

Properties
Formation energy ... 861 meV per atom
Space group ... P4/mmm, No. 123
Electronic total energy ... -0.080 hartree per atom



Crystalline Cs2LaAl2O6 at its relaxed geometry, computed with PBE.

abc: 7.6038 7.6038 7.6038
angles: 49.03 49.03 49.03
Fractional coordinates of all 11 atoms:
1 Cs 0.2063 0.2063 0.2063
2 Cs 0.7937 0.7937 0.7937
3 La 0.0000 0.0000 0.0000
4 Al 0.4062 0.4062 0.4062
5 Al 0.5938 0.5938 0.5938
6 O 0.2504 0.2504 0.7200
7 O 0.2504 0.7200 0.2504
8 O 0.2800 0.7496 0.7496
9 O 0.7200 0.2504 0.2504
10 O 0.7496 0.2800 0.7496
11 O 0.7496 0.7496 0.2800

Properties
Formation energy without anion corrections ... -2452 kJ/mol of formula units
Space group ... R-3m, No. 166
Electronic total energy ... -0.231 hartree per atom



Crystalline Cs4La3AlO8 at its relaxed geometry, computed with PBE.

abc: 7.4995 7.4995 7.9716
angles: 115.15 115.15 56.85
Fractional coordinates of all 16 atoms:
1 Cs 0.0000 0.0000 0.0000
2 Cs 0.0000 0.5000 0.0000
3 Cs 0.5000 0.0000 0.0000
4 Cs 0.5000 0.5000 0.0000
5 La 0.0000 0.0000 0.5000
6 La 0.0000 0.5000 0.5000
7 La 0.5000 0.0000 0.5000
8 Al 0.5000 0.5000 0.5000
9 O 0.2096 0.2096 0.6692
10 O 0.2304 0.2304 0.2904
11 O 0.2737 0.6679 0.6376
12 O 0.3321 0.7263 0.3624
13 O 0.6679 0.2737 0.6376
14 O 0.7263 0.3321 0.3624
15 O 0.7696 0.7696 0.7096
16 O 0.7904 0.7904 0.3308

Properties
Formation energy without anion corrections ... -3611 kJ/mol of formula units
Space group ... C2/m, No. 12
Electronic total energy ... -0.227 hartree per atom



Crystalline CsLa2AlPd at its relaxed geometry, computed with PBE.

abc: 5.9822 5.9822 4.8314
angles: 90.00 90.00 90.00
Fractional coordinates of all 5 atoms:
1 Cs 0.0000 0.0000 0.0000
2 La 0.0000 0.5000 0.5000
3 La 0.5000 0.0000 0.5000
4 Al 0.5000 0.5000 0.5000
5 Pd 0.5000 0.5000 0.0000

Properties
Formation energy ... 227 meV per atom
Space group ... P4/mmm, No. 123
Electronic total energy ... -0.136 hartree per atom



- electronic total energy of number 1 (CsLa2Al2)?
  -0.131 hartree per atom